A plane-wave DFT calculation with GGA-PBE was carried out for crystalline TaSb2Br at its relaxed geometry.

Calculated values
E above lowest polymorph = 115 meV/atom
Crystal system = trigonal
SG = No. 166

Cell lengths 9.034, 9.034, 9.034 Å; angles 23.08, 23.08, 23.08 degrees
Atoms (fractional coordinates):
Ta1 0.000 0.000 0.000
Sb1 0.261 0.261 0.261
Sb2 0.739 0.739 0.739
Br1 0.500 0.500 0.500

***

A plane-wave DFT calculation with GGA-PBE was carried out for crystalline TaSbBr at its relaxed geometry.

Calculated values
E above lowest polymorph = 80 meV/atom
Crystal system = triclinic
SG = No. 1

Cell lengths 3.202, 6.405, 8.742 Å; angles 99.15, 95.84, 95.23 degrees
Atoms (fractional coordinates):
Ta1 0.000 0.000 0.000
Ta2 0.432 0.355 0.144
Sb1 0.514 0.972 0.717
Sb2 0.903 0.412 0.875
Br1 0.024 0.417 0.387
Br2 0.518 0.823 0.183

***

A plane-wave DFT calculation with GGA-PBE was carried out for crystalline TaSbBr at its relaxed geometry.

Calculated values
E above lowest polymorph = 2 meV/atom
Crystal system = monoclinic
SG = No. 8

Cell lengths 8.433, 8.433, 6.072 Å; angles 101.12, 101.12, 22.76 degrees
Atoms (fractional coordinates):
Ta1 0.000 0.000 0.000
Ta2 0.509 0.509 0.371
Sb1 0.151 0.151 0.344
Sb2 0.627 0.627 0.834
Br1 0.376 0.376 0.030
Br2 0.911 0.911 0.557

***

A plane-wave DFT calculation with GGA-PBE was carried out for crystalline TaSb2TeBr at its relaxed geometry.

Calculated values
E above lowest polymorph = 0 meV/atom
Crystal system = tetragonal
SG = No. 123

Cell lengths 5.406, 5.406, 5.290 Å; angles 90.00, 90.00, 90.00 degrees
Atoms (fractional coordinates):
Ta1 0.000 0.000 0.000
Sb1 0.000 0.500 0.000
Sb2 0.500 0.000 0.000
Te1 0.000 0.000 0.500
Br1 0.500 0.500 0.500

***

A plane-wave DFT calculation with GGA-PBE was carried out for crystalline TaSb2TeBr at its relaxed geometry.

Calculated values
E above lowest polymorph = 1382 meV/atom
Crystal system = tetragonal
SG = No. 123

Cell lengths 5.322, 5.322, 5.450 Å; angles 90.00, 90.00, 90.00 degrees
Atoms (fractional coordinates):
Ta1 0.000 0.000 0.000
Sb1 0.000 0.500 0.500
Sb2 0.500 0.000 0.500
Te1 0.500 0.500 0.000
Br1 0.500 0.500 0.500

***

A plane-wave DFT calculation with GGA-PBE was carried out for crystalline TaV2SbBr at its relaxed geometry.

Calculated values
Crystal system = tetragonal
SG = No. 123

Cell lengths 4.441, 4.441, 5.499 Å; angles 90.00, 90.00, 90.00 degrees
Atoms (fractional coordinates):
Ta1 0.000 0.000 0.000
V1 0.000 0.500 0.500
V2 0.500 0.000 0.500
Sb1 0.500 0.500 0.000
Br1 0.500 0.500 0.500

***

A plane-wave DFT calculation with GGA-PBE was carried out for crystalline TaZnSb2Br at its relaxed geometry.

Calculated values
Crystal system = tetragonal
SG = No. 123

Cell lengths 5.644, 5.644, 4.701 Å; angles 90.00, 90.00, 90.00 degrees
Atoms (fractional coordinates):
Ta1 0.000 0.000 0.000
Zn1 0.500 0.500 0.000
Sb1 0.000 0.500 0.500
Sb2 0.500 0.000 0.500
Br1 0.000 0.000 0.500

***

A plane-wave DFT calculation with GGA-PBE was carried out for crystalline Tb2SbBr3 at its relaxed geometry.

Calculated values
Crystal system = monoclinic
SG = No. 12

Cell lengths 9.201, 9.201, 13.945 Å; angles 126.14, 126.14, 27.71 degrees
Atoms (fractional coordinates):
Tb1 0.110 0.110 0.451
Tb2 0.362 0.362 0.168
Tb3 0.638 0.638 0.832
Tb4 0.890 0.890 0.549
Sb1 0.103 0.103 0.666
Sb2 0.897 0.897 0.334
Br1 0.158 0.158 0.999
Br2 0.261 0.261 0.405
Br3 0.443 0.443 0.731
Br4 0.557 0.557 0.269
Br5 0.739 0.739 0.595
Br6 0.842 0.842 0.001

***

A plane-wave DFT calculation with GGA-PBE was carried out for crystalline Tb2SbBr at its relaxed geometry.

Calculated values
E above lowest polymorph = 86 meV/atom
Crystal system = trigonal
SG = No. 166

Cell lengths 8.774, 8.774, 8.774 Å; angles 30.73, 30.73, 30.73 degrees
Atoms (fractional coordinates):
Tb1 0.112 0.112 0.112
Tb2 0.888 0.888 0.888
Sb1 0.500 0.500 0.500
Br1 0.000 0.000 0.000

***

A plane-wave DFT calculation with GGA-PBE was carried out for crystalline Tb2SbBr at its relaxed geometry.

Calculated values
E above lowest polymorph = 0 meV/atom
Crystal system = trigonal
SG = No. 160

Cell lengths 7.918, 7.918, 7.918 Å; angles 30.95, 30.95, 30.95 degrees
Atoms (fractional coordinates):
Tb1 0.000 0.000 0.000
Tb2 0.181 0.181 0.181
Sb1 0.592 0.592 0.592
Br1 0.422 0.422 0.422

***

A plane-wave DFT calculation with GGA-PBE was carried out for crystalline TcSb2Br at its relaxed geometry.

Calculated values
E above lowest polymorph = 722 meV/atom
Crystal system = orthorhombic
SG = No. 47

Cell lengths 3.288, 4.995, 5.626 Å; angles 90.00, 90.00, 90.00 degrees
Atoms (fractional coordinates):
Tc1 0.000 0.000 0.000
Sb1 0.000 0.500 0.500
Sb2 0.500 0.500 0.000
Br1 0.500 0.000 0.500

***

A plane-wave DFT calculation with GGA-PBE was carried out for crystalline TcSbBr at its relaxed geometry.

Calculated values
E above lowest polymorph = 56 meV/atom
Crystal system = tetragonal
SG = No. 107

Cell lengths 7.504, 7.504, 7.504 Å; angles 155.58, 155.58, 34.80 degrees
Atoms (fractional coordinates):
Tc1 0.000 0.000 0.000
Sb1 0.622 0.622 0.000
Br1 0.386 0.386 0.000

***

| no. | energy (eV/cell) |
| --- | --- |
| 1 | -21.52 |
| 2 | -36.11 |
| 3 | -36.58 |
| 4 | -24.06 |
| 5 | -17.15 |
| 6 | -28.78 |
| 7 | -15.87 |
| 8 | -54.48 |
| 9 | -18.78 |
| 10 | -19.13 |
| 11 | -17.34 |
| 12 | -15.38 |